Compound: SrMgIn3
Source: the Alexandria database
Functional: PBE
Structure: optimized geometry

Cell and atoms, written as CIF:
```
data_SrMgIn3
_symmetry_space_group_name_H-M 'P m -3 m'
_symmetry_Int_Tables_number 221
_symmetry_space_group_name_Hall '-P 4 2 3'
_cell_length_a 5.467
_cell_length_b 5.467
_cell_length_c 5.467
_cell_angle_alpha 90.00
_cell_angle_beta 90.00
_cell_angle_gamma 90.00
loop_
_atom_site_label
_atom_site_type_symbol
_atom_site_fract_x
_atom_site_fract_y
_atom_site_fract_z
Sr1 Sr 0.000 0.000 0.000
Mg1 Mg 0.500 0.500 0.500
In1 In 0.000 0.500 0.500
```

Results
**Energy of formation**: 0.009 eV per atom



Compound: Sr2MgIn3
Source: the Alexandria database
Functional: PBE
Structure: optimized geometry

Cell and atoms, written as CIF:
```
data_Sr2MgIn3
_symmetry_space_group_name_H-M 'F m m m'
_symmetry_Int_Tables_number 69
_symmetry_space_group_name_Hall '-F 2 2'
_cell_length_a 8.021
_cell_length_b 10.271
_cell_length_c 17.793
_cell_angle_alpha 90.00
_cell_angle_beta 90.00
_cell_angle_gamma 90.00
loop_
_atom_site_label
_atom_site_type_symbol
_atom_site_fract_x
_atom_site_fract_y
_atom_site_fract_z
Sr1 Sr 0.250 0.000 0.000
Sr2 Sr 0.250 0.250 0.250
Mg1 Mg 0.000 0.000 0.168
In1 In 0.000 0.000 0.332
In2 In 0.000 0.249 0.084
```

Results
**Energy of formation**: -0.373 eV per atom



> Look up the energy of formation of the first one.

0.009 eV per atom



> The highest energy of formation belongs to which entry?

SrMgIn3



> Which formula does entry 2 have?

Sr2MgIn3



> What is the formula in the first record?

SrMgIn3